PBE-GGA DyPuSc, optimized geometry; E_form = 0.52 eV per formula unit; space-group type = P6_3/mmc (194); offset from the most stable computed form = 58 meV/atom
1.0
5.371 0.000 0.000
-2.686 4.652 0.000
0.000 0.000 12.986
Dy Pu Sc
4 4 4
direct
0.000 0.000 0.000
0.000 0.000 0.250
0.000 0.000 0.500
0.000 0.000 0.750
0.333 0.667 0.139
0.333 0.667 0.361
0.667 0.333 0.639
0.667 0.333 0.861
0.333 0.667 0.621
0.333 0.667 0.879
0.667 0.333 0.121
0.667 0.333 0.379

=====

PBE-GGA Nd12InCu6, optimized geometry; E_form = -2.42 eV per formula unit; space-group type = Im-3 (204)
1.0
-5.109 5.109 5.109
5.109 -5.109 5.109
5.109 5.109 -5.109
Nd In Cu
12 1 6
direct
0.111 0.812 0.299
0.188 0.299 0.486
0.188 0.701 0.889
0.299 0.111 0.812
0.299 0.486 0.188
0.486 0.188 0.299
0.514 0.812 0.701
0.701 0.514 0.812
0.701 0.889 0.188
0.812 0.299 0.111
0.812 0.701 0.514
0.889 0.188 0.701
0.000 0.000 0.000
0.121 0.621 0.500
0.379 0.500 0.879
0.500 0.121 0.621
0.500 0.879 0.379
0.621 0.500 0.121
0.879 0.379 0.500

=====

PBE-GGA SrTcSb2, optimized geometry; space-group type = Cmmm (65); offset from the most stable computed form = 490 meV/atom
1.0
3.228 -3.869 0.000
3.228 3.869 0.000
0.000 0.000 4.043
Sr Tc Sb
1 1 2
direct
0.000 0.000 0.000
0.500 0.500 0.000
0.000 0.500 0.500
0.500 0.000 0.500

=====

PBE-GGA In2Pb5, optimized geometry; E_form = 0.16 eV per formula unit; space-group type = C2/c (15); offset from the most stable computed form = 0 meV/atom
1.0
11.247 -3.121 0.000
11.247 3.121 0.000
-1.093 0.000 6.074
In Pb
4 10
direct
0.030 0.835 0.588
0.165 0.970 0.912
0.835 0.030 0.088
0.970 0.165 0.412
0.080 0.340 0.688
0.234 0.485 0.913
0.340 0.080 0.188
0.396 0.604 0.250
0.485 0.234 0.413
0.515 0.766 0.587
0.604 0.396 0.750
0.660 0.920 0.812
0.766 0.515 0.087
0.920 0.660 0.312

=====

Ordered theoretical density results: 9.242 6.931 7.056 9.857; unit g cm⁻³.
Ordered E_tot results: -8.25 -4.58 -4.84 -3.41; unit eV per atom.